VASP calculation (PBE+U) on LiCrF5 after structural relaxation.

a b c (Å): 3.8297 5.2604 5.2604
angles (deg): 73.95 68.65 68.65
With the nearest neighbours (Å) after each atom.
Positions (direct):
F: 0.7563 0.2437 0.2437  1 Cr 1.82, 1 Li 1.92
F: 0.5000 0.0000 0.0000  2 Cr 1.91
F: 0.2437 0.7563 0.7563  1 Cr 1.82, 1 Li 1.92
F: 0.0000 0.2892 0.7108  1 Cr 1.83
F: 0.0000 0.7108 0.2892  1 Cr 1.83
Li: 0.5000 0.5000 0.5000  2 F 1.92
Cr: 0.0000 0.0000 0.0000  6 F 1.82-1.91

Computed properties:
For the calculated total energy, the calculation gives -5.2046 eV per atom. The magnetization is 2.00 μB per formula unit. Its space-group type is Immm, No. 71.